1.
## RhPbW (PBE)

Data for a relaxed RhPbW crystal.

Values from the calculation:
The value obtained for the energy relative to the lowest polymorph listed for this composition is 77.8 meV per atom.

POSCAR file:
```
RhPbW
1.0
3.023 0.000 0.000
-1.511 2.618 0.000
0.000 0.000 7.092
Rh Pb W
1 1 1
Direct
0.000 0.000 0.000
0.333 0.667 0.645
0.667 0.333 0.277
```

---

2.
## RhPb2W (PBE)

Data for a relaxed RhPb2W crystal.

Values from the calculation:
The value obtained for the energy relative to the lowest polymorph listed for this composition is 439.4 meV per atom.

POSCAR file:
```
RhPb2W
1.0
1.609 0.929 8.936
-1.609 0.929 8.936
0.000 -1.858 8.936
Rh Pb W
1 2 1
Direct
0.000 0.000 0.000
0.254 0.254 0.254
0.746 0.746 0.746
0.500 0.500 0.500
```

---

3.
## RhPbW (PBE)

Data for a relaxed RhPbW crystal.

Values from the calculation:
The value obtained for the energy relative to the lowest polymorph listed for this composition is 0.0 meV per atom.

POSCAR file:
```
RhPbW
1.0
-1.522 1.522 6.098
1.522 -1.522 6.098
1.522 1.522 -6.098
Rh Pb W
1 1 1
Direct
0.000 0.000 0.000
0.311 0.311 0.000
0.623 0.623 0.000
```

---

4.
## RhPbW2 (PBE)

Data for a relaxed RhPbW2 crystal.

POSCAR file:
```
RhPbW2
1.0
2.860 0.000 0.000
0.000 4.137 0.000
-0.238 0.000 6.125
Rh Pb W
1 1 2
Direct
0.000 0.000 0.000
0.000 0.000 0.500
0.477 0.500 0.797
0.523 0.500 0.203
```

---

5.
## RhPbW2 (PBE)

Data for a relaxed RhPbW2 crystal.

POSCAR file:
```
RhPbW2
1.0
4.902 -1.550 0.000
4.902 1.550 0.000
-1.004 0.000 4.597
Rh Pb W
1 1 2
Direct
0.000 0.000 0.000
0.500 0.500 0.500
0.258 0.258 0.778
0.742 0.742 0.222
```

---

6.
## RhPb2W (PBE)

Data for a relaxed RhPb2W crystal.

Values from the calculation:
The value obtained for the energy relative to the lowest polymorph listed for this composition is 565.4 meV per atom.

POSCAR file:
```
RhPb2W
1.0
-1.640 2.739 4.555
1.640 -2.739 4.555
1.640 2.739 -4.555
Rh Pb W
1 2 1
Direct
0.000 0.000 0.000
0.238 0.738 0.500
0.762 0.262 0.500
0.500 0.500 0.000
```

---

7.
## RhPb2W (PBE)

Data for a relaxed RhPb2W crystal.

Values from the calculation:
The value obtained for the energy relative to the lowest polymorph listed for this composition is 458.5 meV per atom.

POSCAR file:
```
RhPb2W
1.0
3.385 0.000 0.000
0.000 3.433 0.000
0.000 0.000 6.727
Rh Pb W
1 2 1
Direct
0.000 0.000 0.000
0.500 0.500 0.246
0.500 0.500 0.754
0.000 0.000 0.500
```

---

8.
## RhPbW2 (PBE)

Data for a relaxed RhPbW2 crystal.

POSCAR file:
```
RhPbW2
1.0
1.892 -2.192 0.000
1.892 2.192 0.000
0.000 0.000 8.523
Rh Pb W
1 1 2
Direct
0.000 0.000 0.000
0.000 0.000 0.500
0.500 0.500 0.223
0.500 0.500 0.777
```

---

9.
## RhPb2W (PBE)

Data for a relaxed RhPb2W crystal.

Values from the calculation:
The value obtained for the energy relative to the lowest polymorph listed for this composition is 472.3 meV per atom.

POSCAR file:
```
RhPb2W
1.0
1.827 -2.542 0.000
1.827 2.542 0.000
0.000 0.000 8.703
Rh Pb W
1 2 1
Direct
0.000 0.000 0.000
0.500 0.500 0.237
0.500 0.500 0.763
0.000 0.000 0.500
```

---

10.
## Rh2Pb2W (PBE)

Data for a relaxed Rh2Pb2W crystal.

Values from the calculation:
The value obtained for the energy relative to the lowest polymorph listed for this composition is 0.0 meV per atom.

POSCAR file:
```
Rh2Pb2W
1.0
7.864 0.000 0.000
0.000 7.864 0.000
0.000 0.000 3.044
Rh Pb W
4 4 2
Direct
0.148 0.352 0.000
0.352 0.852 0.000
0.648 0.148 0.000
0.852 0.648 0.000
0.152 0.652 0.500
0.348 0.152 0.500
0.652 0.848 0.500
0.848 0.348 0.500
0.000 0.000 0.500
0.500 0.500 0.500
```

---

11.
## RhPbW2 (PBE)

Data for a relaxed RhPbW2 crystal.

POSCAR file:
```
RhPbW2
1.0
-1.827 2.243 4.272
1.827 -2.243 4.272
1.827 2.243 -4.272
Rh Pb W
1 1 2
Direct
0.000 0.000 0.000
0.247 0.747 0.500
0.513 0.513 0.000
0.735 0.235 0.500
```

---

12.
## Rh2Pb2W (PBE)

Data for a relaxed Rh2Pb2W crystal.

Values from the calculation:
The value obtained for the energy relative to the lowest polymorph listed for this composition is 306.9 meV per atom.

POSCAR file:
```
Rh2Pb2W
1.0
-1.804 1.804 7.927
1.804 -1.804 7.927
1.804 1.804 -7.927
Rh Pb W
2 2 1
Direct
0.250 0.750 0.500
0.750 0.250 0.500
0.106 0.106 0.000
0.894 0.894 0.000
0.500 0.500 0.000
```

---

13.
## RhPb2W (PBE)

Data for a relaxed RhPb2W crystal.

Values from the calculation:
The value obtained for the energy relative to the lowest polymorph listed for this composition is 485.0 meV per atom.

POSCAR file:
```
RhPb2W
1.0
0.000 3.399 3.399
3.399 0.000 3.399
3.399 3.399 0.000
Rh Pb W
1 2 1
Direct
0.000 0.000 0.000
0.250 0.250 0.250
0.750 0.750 0.750
0.500 0.500 0.500
```

---

14.
## RhPb2W (PBE)

Data for a relaxed RhPb2W crystal.

Values from the calculation:
The value obtained for the energy relative to the lowest polymorph listed for this composition is 560.4 meV per atom.

POSCAR file:
```
RhPb2W
1.0
-2.018 2.018 4.936
2.018 -2.018 4.936
2.018 2.018 -4.936
Rh Pb W
1 2 1
Direct
0.000 0.000 0.000
0.500 0.500 0.000
0.750 0.250 0.500
0.250 0.750 0.500
```

---

15.
## RhPb2W (PBE)

Data for a relaxed RhPb2W crystal.

Values from the calculation:
The value obtained for the energy relative to the lowest polymorph listed for this composition is 578.8 meV per atom.

POSCAR file:
```
RhPb2W
1.0
3.327 0.000 0.000
0.000 4.518 0.000
0.000 0.000 5.459
Rh Pb W
1 2 1
Direct
0.000 0.000 0.000
0.000 0.500 0.500
0.500 0.500 0.000
0.500 0.000 0.500
```

---

16.
## RhPb2W (PBE)

Data for a relaxed RhPb2W crystal.

Values from the calculation:
The value obtained for the energy relative to the lowest polymorph listed for this composition is 672.0 meV per atom.

POSCAR file:
```
RhPb2W
1.0
0.000 3.472 3.472
3.472 0.000 3.472
3.472 3.472 0.000
Rh Pb W
1 2 1
Direct
0.000 0.000 0.000
0.500 0.500 0.500
0.750 0.750 0.750
0.250 0.250 0.250
```

---

17.
## RhPb2W (PBE)

Data for a relaxed RhPb2W crystal.

Values from the calculation:
The value obtained for the energy relative to the lowest polymorph listed for this composition is 0.0 meV per atom.

POSCAR file:
```
RhPb2W
1.0
3.096 0.000 0.000
0.000 3.096 0.000
0.000 0.000 9.390
Rh Pb W
1 2 1
Direct
0.000 0.000 0.000
0.000 0.000 0.402
0.500 0.500 0.767
0.500 0.500 0.155
```

---

18.
## RhPbW2 (PBE)

Data for a relaxed RhPbW2 crystal.

POSCAR file:
```
RhPbW2
1.0
1.851 -2.279 0.000
1.851 2.279 0.000
0.000 0.000 8.542
Rh Pb W
1 1 2
Direct
0.000 0.000 0.000
0.500 0.500 0.727
0.000 0.000 0.444
0.500 0.500 0.209
```

---

19.
## RhPbW2 (PBE)

Data for a relaxed RhPbW2 crystal.

POSCAR file:
```
RhPbW2
1.0
2.927 0.000 0.000
0.000 2.927 0.000
0.000 0.000 8.196
Rh Pb W
1 1 2
Direct
0.000 0.000 0.000
0.000 0.000 0.500
0.500 0.500 0.224
0.500 0.500 0.776
```

---

20.
## RhPbW2 (PBE)

Data for a relaxed RhPbW2 crystal.

POSCAR file:
```
RhPbW2
1.0
-1.933 1.977 4.495
1.933 -1.977 4.495
1.933 1.977 -4.495
Rh Pb W
1 1 2
Direct
0.000 0.000 0.000
0.500 0.500 0.000
0.250 0.750 0.500
0.750 0.250 0.500
```

---

no.,energy of formation from the pure elements (eV/atom),calculated total energy (Ry per atom)
1,0.4692,-0.55382
2,0.7111,-0.45710
3,0.3913,-0.55954
4,0.6144,-0.63408
5,0.4909,-0.64316
6,0.8372,-0.44784
7,0.7303,-0.45570
8,0.7128,-0.62685
9,0.7440,-0.45468
10,0.6610,-0.46698
11,0.6123,-0.63424
12,0.9679,-0.44442
13,0.7568,-0.45374
14,0.8321,-0.44821
15,0.8506,-0.44685
16,0.9438,-0.44000
17,0.2718,-0.48939
18,0.4502,-0.64615
19,0.7182,-0.62645
20,0.5155,-0.64135